Sr6Au3N: relaxed, GGA-PBE.

```
Sr6Au3N
1.0
-6.864 -1.629 -2.185
-2.250 -0.893 7.735
-2.981 10.309 0.323
Sr Au N
12 6 2
direct
0.705 0.165 0.944
0.655 0.210 0.563
0.630 0.463 0.272
0.370 0.537 0.728
0.345 0.790 0.437
0.295 0.835 0.056
0.205 0.335 0.444
0.155 0.290 0.063
0.130 0.037 0.772
0.870 0.963 0.228
0.845 0.710 0.937
0.795 0.665 0.556
0.543 0.899 0.758
0.500 0.500 0.000
0.457 0.101 0.242
0.043 0.601 0.258
0.000 0.000 0.500
0.957 0.399 0.742
0.500 0.500 0.500
0.000 0.000 0.000
```

Calculated values
Uncorrected energy ... -3.443 eV per atom
Volume ... 32.1 Å³/atom
Formation energy (no corrections) ... -6.19 eV per formula unit
SG ... P2_1/c